First-principles (PBE) data for a geometry-optimized HfBO2F structure, as listed in the Alexandria database.

The total energy comes out at -7.263 eV/atom.

The space group is P4/mmm (No. 123) and the conventional cell measures 4.091, 4.091 and 4.114 Å, with angles of 90.00, 90.00 and 90.00 degrees. The distinct sites, in fractional coordinates, are Hf at (0.000, 0.000, 0.000), B at (0.500, 0.500, 0.500), O at (0.000, 0.500, 0.000) and F at (0.000, 0.000, 0.500).